# MnReP

A relaxed structure of MnReP (PBE, Alexandria).

Results
- E_tot (eV/atom) = -8.79
- energy above the most stable polymorph in this dataset (eV per atom) = 0.372
- energy of formation from the pure elements (eV per atom) = 0.21

a b c (Å): 3.0848 4.7026 11.2564
angles (deg): 90.00 90.00 90.00
With the nearest neighbours (Å) after each atom.
Space group Fmm2 (No. 42)
Unique sites:
Mn  0.0000  0.0000  0.0000 [4 per cell]  2 P 2.28
Re  0.0000  0.0000  0.3087 [4 per cell]  2 P 2.37, 2 Mn 2.65
P  0.0000  0.0000  0.6486 [4 per cell]  2 Mn 2.28, 2 Re 2.37